! Dy2CoGe4 (PBE, relaxed); values from VASP
! SG: Amm2, No. 38
! ΔE_f, eV per atom: -0.655
! Size of the total moment, μB/f.u.: 0.00
&SYSTEM
  ibrav = 0, nat = 7, ntyp = 3
/
ATOMIC_SPECIES
Ge 72.64 Ge.upf
Dy 162.50 Dy.upf
Co 58.93 Co.upf
ATOMIC_POSITIONS crystal
Ge 0.743 0.257 0.500
Ge 0.245 0.755 0.000
Ge 0.456 0.544 0.500
Ge 0.562 0.438 0.000
Dy 0.106 0.894 0.500
Dy 0.898 0.102 0.000
Co 0.311 0.689 0.500
CELL_PARAMETERS angstrom
-4.014 0.931 -7.057
0.980 -3.757 7.190
-2.483 2.750 1.775